TbTiAs2Rh5 | Alexandria via LeMat-Bulk | GGA-PBE | relaxed; space group = No. 123; calculated formation energy = -0.344 eV per atom
1.0
4.012 0.000 0.000
0.000 4.012 0.000
0.000 0.000 10.718
Tb Ti As Rh
1 1 2 5
Direct
0.500 0.500 0.500
0.000 0.000 0.000
0.000 0.000 0.721
0.000 0.000 0.279
0.000 0.000 0.500
0.000 0.500 0.853
0.500 0.000 0.147
0.000 0.500 0.147
0.500 0.000 0.853